The following is a SCAN calculation of CoPRu2 at its PBEsol-relaxed geometry, from Alexandria via LeMat-Bulk.

Structure (POSCAR):
```
CoPRu2
1.0
-1.805 1.805 3.640
1.805 -1.805 3.640
1.805 1.805 -3.640
Co P Ru
1 1 2
Cartesian
0.000 0.000 0.000
0.000 1.805 1.820
1.805 0.000 1.820
0.000 0.000 3.640
```

Values from the calculation:
The calculation puts the formation energy at 0.08 eV/atom.